Hg2GeSe4 (PBE-GGA, optimized geometry); total magnetization = 0.00 μB per formula unit; raw formation energy = -0.2348 eV per atom
1.0
-3.078 3.078 5.503
3.078 -3.078 5.503
3.078 3.078 -5.503
Hg Ge Se
2 1 4
direct
0.250 0.750 0.500
0.750 0.250 0.500
0.000 0.000 0.000
0.141 0.653 0.000
0.347 0.347 0.487
0.653 0.141 0.000
0.859 0.859 0.513